Material: PuSc2Ga
Method: DFT, PBE
State: optimized geometry

Unit cell a=4.525 b=4.525 c=4.309 alpha=90.00 beta=90.00 gamma=90.00
Space group P4/mmm (No. 123)
Inequivalent atoms, fractional coordinates:
Pu1 0.000 0.000 0.000 x1
Sc1 0.000 0.500 0.500 x2
Ga1 0.500 0.500 0.000 x1

Formation energy from the elements (eV per atom): -0.19
Relative energy among the computed polymorphs (eV per formula unit): 0.24